A relaxed LaIr2Ru crystal. Source: Alexandria via LeMat-Bulk, functional PBE.

Output
As for the offset from the most stable computed form: 0 meV/atom. The calculated formation energy is 3 kJ/mol of formula units. The value obtained for the density of states at the Fermi level is 3.29 states/eV/cell. The calculated density comes out at 14.22 g cm⁻³. As for the total magnetization: 0.000 μB/cell.

abc: 4.5411 2.9084 5.5900
angles: 81.03 90.00 90.00
Closest atoms and distances in Å follow each position.
Fractional coordinates of all 4 atoms:
La (0.0000, 0.5483, 0.4672)  6 Ir 2.80-3.10, 2 La 2.91
Ir (0.5000, 0.0920, 0.2372)  2 Ru 2.62-2.65, 4 Ir 2.75-2.91
Ir (0.0000, 0.1389, 0.9555)  4 Ru 2.70-2.84, 4 Ir 2.75-2.91, 1 La 2.80
Ru (0.5000, 0.7207, 0.8401)  6 Ir 2.62-2.84, 2 Ru 2.91